Computed, not measured: a relaxed Rb2CoCl2F4 crystal at the PBE with a Hubbard U level of DFT.

Lattice parameters (Å, degrees): 6.0119 6.1874 6.1874 63.87 86.66 86.66
Last column: nearest neighbours and their distance in Å.
Atoms (fractional coordinates):
Rb: 0.2956 0.6695 0.6695  4 F 2.92-2.93
Rb: 0.7044 0.3305 0.3305  4 F 2.92-2.93
Co: 0.5000 0.0000 0.0000  4 F 1.81
Cl: 0.2138 0.1522 0.1522  1 Co 2.27
Cl: 0.7862 0.8478 0.8478  1 Co 2.27
F: 0.3647 0.7142 0.1116  1 Co 1.81
F: 0.6353 0.8884 0.2858  1 Co 1.81
F: 0.6353 0.2858 0.8884  1 Co 1.81
F: 0.3647 0.1116 0.7142  1 Co 1.81

Summary:
Raw total energy (eV/f.u.): -34.9
Space group: C2/m, No. 12
ρ (kg/m3): 3035